No. 1
A plane-wave DFT calculation with GGA-PBE was carried out for an optimized crystal structure of LiReTe2.

Output
* volume: 79 Å³/cell
* uncorrected formation energy: 3.64 eV per formula unit
* ΔE to the lowest computed polymorph: 0.878 eV/atom
* space-group type: F-43m (216)
* crystal system: cubic

a = 4.823 Å, b = 4.823 Å, c = 4.823 Å
α = 60.00°, β = 60.00°, γ = 60.00°
Fractional coordinates of all 4 atoms:
1 Li 0.500 0.500 0.500
2 Re 0.250 0.250 0.250
3 Te 0.000 0.000 0.000
4 Te 0.750 0.750 0.750

No. 2
A plane-wave DFT calculation with GGA-PBE was carried out for an optimized crystal structure of Ce5Cd2Os2.

Output
* volume: 468 Å³/cell
* ΔE to the lowest computed polymorph: 0.139 eV/atom
* space-group type: Ima2 (46)
* crystal system: orthorhombic

a = 8.575 Å, b = 6.693 Å, c = 9.803 Å
α = 109.96°, β = 115.94°, γ = 90.00°
Fractional coordinates of all 18 atoms:
1 Ce 0.247 0.627 0.915
2 Ce 0.753 0.712 0.085
3 Ce 0.168 0.127 0.915
4 Ce 0.832 0.212 0.085
5 Ce 0.263 0.098 0.323
6 Ce 0.737 0.776 0.677
7 Ce 0.559 0.598 0.323
8 Ce 0.441 0.276 0.677
9 Ce 0.036 0.791 0.500
10 Ce 0.964 0.291 0.500
11 Cd 0.148 0.576 0.197
12 Cd 0.852 0.378 0.803
13 Cd 0.550 0.076 0.197
14 Cd 0.450 0.878 0.803
15 Os 0.000 0.861 0.000
16 Os 0.500 0.361 0.000
17 Os 0.247 0.518 0.500
18 Os 0.753 0.018 0.500

No. 3
A plane-wave DFT calculation with GGA-PBE was carried out for an optimized crystal structure of Mg2InIr.

Output
* volume: 74 Å³/cell
* final energy: -3.883 eV per atom
* space-group type: Cm (8)
* crystal system: monoclinic

a = 5.298 Å, b = 5.298 Å, c = 4.786 Å
α = 72.07°, β = 72.07°, γ = 35.58°
Fractional coordinates of all 4 atoms:
1 In 0.520 0.520 0.461
2 Ir 0.255 0.255 0.265
3 Mg 0.975 0.975 0.013
4 Mg 0.750 0.750 0.760

No. 4
A plane-wave DFT calculation with GGA-PBE was carried out for an optimized crystal structure of KGe2Br8.

Output
* volume: 515 Å³/cell
* uncorrected formation energy: -8.09 eV per formula unit
* space-group type: C2/m (12)
* crystal system: monoclinic

a = 7.177 Å, b = 8.775 Å, c = 8.775 Å
α = 74.54°, β = 78.12°, γ = 78.12°
Fractional coordinates of all 11 atoms:
1 K 0.000 0.000 0.000
2 Ge 0.694 0.782 0.782
3 Ge 0.306 0.218 0.218
4 Br 0.241 0.309 0.948
5 Br 0.759 0.052 0.691
6 Br 0.358 0.785 0.785
7 Br 0.642 0.215 0.215
8 Br 0.241 0.948 0.309
9 Br 0.759 0.691 0.052
10 Br 0.883 0.614 0.614
11 Br 0.117 0.386 0.386